Entry 1:
Below is a geometry-optimized HfS2Cl8 structure, with properties calculated at the PBE level.

## Properties
The crystal system is monoclinic.

abc: 8.546 11.522 8.853
angles: 90.00 112.26 90.00
Space group C2/m (No. 12)
Symmetry-distinct sites (fractional):
1 Hf 0.000 0.000 0.000 (multiplicity 2)
2 S 0.078 0.000 0.435 (multiplicity 4)
3 Cl 0.083 0.150 0.846 (multiplicity 8)
4 Cl 0.203 0.500 0.371 (multiplicity 4)
5 Cl 0.218 0.500 0.783 (multiplicity 4)



Entry 2:
Below is a geometry-optimized HfSbS2Cl structure, with properties calculated at the PBE level.

## Properties
The crystal system is tetragonal.

abc: 5.125 5.125 5.002
angles: 90.00 90.00 90.00
Space group P4/mmm (No. 123)
Symmetry-distinct sites (fractional):
1 Hf 0.000 0.000 0.000 (multiplicity 1)
2 Sb 0.500 0.500 0.500 (multiplicity 1)
3 S 0.000 0.500 0.500 (multiplicity 2)
4 Cl 0.500 0.500 0.000 (multiplicity 1)



Entry 3:
Below is a geometry-optimized HfSbS2Cl structure, with properties calculated at the PBE level.

## Properties
The crystal system is tetragonal.

abc: 4.981 4.981 4.884
angles: 90.00 90.00 90.00
Space group P4/mmm (No. 123)
Symmetry-distinct sites (fractional):
1 Hf 0.000 0.000 0.000 (multiplicity 1)
2 Sb 0.500 0.500 0.500 (multiplicity 1)
3 S 0.000 0.500 0.000 (multiplicity 2)
4 Cl 0.000 0.000 0.500 (multiplicity 1)



Entry 4:
Below is a geometry-optimized HfScS2Cl structure, with properties calculated at the PBE level.

## Properties
The crystal system is tetragonal.

abc: 4.942 4.942 4.824
angles: 90.00 90.00 90.00
Space group P4/mmm (No. 123)
Symmetry-distinct sites (fractional):
1 Hf 0.000 0.000 0.000 (multiplicity 1)
2 Sc 0.500 0.500 0.500 (multiplicity 1)
3 S 0.000 0.500 0.000 (multiplicity 2)
4 Cl 0.000 0.000 0.500 (multiplicity 1)



Entry 5:
Below is a geometry-optimized HfScS2Cl structure, with properties calculated at the PBE level.

## Properties
The crystal system is tetragonal.

abc: 4.925 4.925 4.684
angles: 90.00 90.00 90.00
Space group P4/mmm (No. 123)
Symmetry-distinct sites (fractional):
1 Hf 0.000 0.000 0.000 (multiplicity 1)
2 Sc 0.500 0.500 0.500 (multiplicity 1)
3 S 0.000 0.500 0.500 (multiplicity 2)
4 Cl 0.500 0.500 0.000 (multiplicity 1)



Entry 6:
Below is a geometry-optimized HfSe2SCl structure, with properties calculated at the PBE level.

## Properties
The crystal system is tetragonal.

abc: 5.221 5.221 4.850
angles: 90.00 90.00 90.00
Space group P4/mmm (No. 123)
Symmetry-distinct sites (fractional):
1 Hf 0.000 0.000 0.000 (multiplicity 1)
2 Se 0.000 0.500 0.000 (multiplicity 2)
3 S 0.000 0.000 0.500 (multiplicity 1)
4 Cl 0.500 0.500 0.500 (multiplicity 1)



Entry 7:
Below is a geometry-optimized HfSe2SCl structure, with properties calculated at the PBE level.

## Properties
The crystal system is tetragonal.

abc: 4.870 4.870 4.896
angles: 90.00 90.00 90.00
Space group P4/mmm (No. 123)
Symmetry-distinct sites (fractional):
1 Hf 0.000 0.000 0.000 (multiplicity 1)
2 Se 0.000 0.500 0.500 (multiplicity 2)
3 S 0.000 0.000 0.500 (multiplicity 1)
4 Cl 0.500 0.500 0.000 (multiplicity 1)



Entry 8:
Below is a geometry-optimized HfSiSCl2 structure, with properties calculated at the PBE level.

## Properties
The crystal system is tetragonal.

abc: 4.962 4.962 4.988
angles: 90.00 90.00 90.00
Space group P4/mmm (No. 123)
Symmetry-distinct sites (fractional):
1 Hf 0.000 0.000 0.000 (multiplicity 1)
2 Si 0.500 0.500 0.500 (multiplicity 1)
3 S 0.000 0.000 0.500 (multiplicity 1)
4 Cl 0.000 0.500 0.000 (multiplicity 2)



no.,ΔE_f (raw) (eV/atom)
1,-0.819
2,0.499
3,-0.565
4,-0.882
5,-0.568
6,-0.303
7,0.259
8,-0.373